# meta-GGA SCAN Ga2NiO4, single point on PBEsol structure
data_Ga2NiO4
_chemical_formula_sum 'Ga8 Ni4 O16'
_cell_length_a 5.7647
_cell_length_b 5.9138
_cell_length_c 8.2474
_cell_angle_alpha 90.00
_cell_angle_beta 90.00
_cell_angle_gamma 90.00
_space_group_name_H-M_alt 'I m m a'
_space_group_IT_number 74
_space_group_name_Hall '-I 2b 2'
loop_
_atom_site_label
_atom_site_type_symbol
_atom_site_fract_x
_atom_site_fract_y
_atom_site_fract_z
Ga1 Ga 0.0000 0.0000 0.0000
Ga2 Ga 0.0000 0.2500 0.3675
Ni1 Ni 0.2500 0.2500 0.7500
O1 O 0.0000 0.0091 0.7621
O2 O 0.2354 0.2500 0.9979
# Energy relative to the elements, uncorrected: -1.891 eV per atom
# Energy above the most stable polymorph in this dataset: 0 meV/atom
# Electronic total energy: -87.0 eV/f.u.